(1)
VASP calculation (GGA-PBE) on a relaxed Ac2AuBr crystal.

Unit cell a=5.6136 b=5.6136 c=5.6136 alpha=60.00 beta=60.00 gamma=60.00
With the nearest neighbours (Å) after each atom.
Sites, in units of the cell vectors:
Br  0.5000  0.5000  0.5000  8 Ac 3.44
Ac  0.7500  0.7500  0.7500  4 Au 3.44, 4 Br 3.44
Ac  0.2500  0.2500  0.2500  4 Br 3.44, 4 Au 3.44
Au  0.0000  0.0000  0.0000  8 Ac 3.44

Output
The calculation puts the density of states at the Fermi level at 5.37 states/eV/f.u. Its energy above the lowest structure with this stoichiometry is 213 meV per atom. Its magnetization is 0.05 μB/f.u. The calculation puts the density at 9702 kg/m3. The formation energy from raw total energies comes out at -0.83 eV per atom. The space-group type is No. 225.

***

(2)
VASP calculation (GGA-PBE) on a relaxed ErMgScSe4 crystal.

Unit cell a=8.0355 b=8.0810 c=8.0810 alpha=60.35 beta=60.19 gamma=60.19
With the nearest neighbours (Å) after each atom.
Sites, in units of the cell vectors:
Se  0.2481  0.2328  0.2709  1 Mg 2.62, 2 Sc 2.75, 1 Er 2.84
Se  0.7519  0.2291  0.2672  1 Mg 2.62, 2 Sc 2.75, 1 Er 2.84
Se  0.2481  0.7709  0.7328  1 Mg 2.62, 2 Sc 2.75, 1 Er 2.84
Se  0.7449  0.7613  0.2613  1 Mg 2.59, 1 Sc 2.73, 2 Er 2.82
Se  0.2325  0.7613  0.2613  1 Mg 2.59, 1 Sc 2.73, 2 Er 2.82
Se  0.7519  0.7672  0.7291  1 Mg 2.62, 2 Sc 2.75, 1 Er 2.84
Se  0.2551  0.2387  0.7387  1 Mg 2.59, 1 Sc 2.73, 2 Er 2.82
Se  0.7675  0.2387  0.7387  1 Mg 2.59, 1 Sc 2.73, 2 Er 2.82
Sc  0.0000  0.0000  0.5000  6 Se 2.73-2.75
Sc  0.5000  0.0000  0.5000  6 Se 2.73-2.75
Mg  0.3740  0.3760  0.8760  4 Se 2.59-2.62
Mg  0.6260  0.6240  0.1240  4 Se 2.59-2.62
Er  0.0000  0.0000  0.0000  6 Se 2.82-2.84
Er  0.0000  0.5000  0.5000  6 Se 2.82-2.84

Output
Its magnetization is 0.00 μB/f.u. The calculation puts the density at 4917 kg/m3. The formation energy from raw total energies comes out at -1.63 eV per atom. The space-group type is No. 74.

***

(3)
VASP calculation (GGA-PBE) on a relaxed BeSnP crystal.

Unit cell a=5.4175 b=3.5715 c=6.3377 alpha=90.00 beta=90.00 gamma=90.00
With the nearest neighbours (Å) after each atom.
Sites, in units of the cell vectors:
P  0.5000  0.7475  0.3182  3 Be 2.08-2.09
P  0.5000  0.2525  0.8182  3 Be 2.08-2.09
Be  0.5000  0.2498  0.1479  3 P 2.08-2.09
Be  0.5000  0.7502  0.6479  3 P 2.08-2.09
Sn  0.0000  0.9472  0.3399  2 P 2.80
Sn  0.0000  0.0528  0.8399  2 P 2.80

Output
The calculation puts the density of states at the Fermi level at 0.57 states/eV/f.u. Its energy above the lowest structure with this stoichiometry is 5 meV per atom. Its magnetization is 0.00 μB/f.u. The calculation puts the density at 4298 kg/m3. For the formation energy, the calculation gives -0.044 eV per atom. The space-group type is No. 26.

***

(4)
VASP calculation (GGA-PBE) on a relaxed Ba2ZrAg crystal.

Unit cell a=7.2313 b=7.2313 c=7.2313 alpha=149.58 beta=131.23 gamma=58.57
With the nearest neighbours (Å) after each atom.
Sites, in units of the cell vectors:
Ag  0.7215  0.2215  0.5000  2 Zr 2.87
Ba  0.2615  0.7615  0.5000  4 Ag 3.57, 4 Ba 3.79-3.95, 2 Zr 4.00
Ba  0.9664  0.9664  0.0000  2 Ag 3.63, 4 Zr 3.69, 4 Ba 3.79-3.95
Zr  0.5506  0.5506  0.0000  2 Ag 2.87

Output
The calculation puts the density of states at the Fermi level at 5.89 states/eV/f.u. Its energy above the lowest structure with this stoichiometry is 84 meV per atom. Its magnetization is 1.56 μB/f.u. The calculation puts the density at 5505 kg/m3. For the formation energy, the calculation gives 0.310 eV per atom. The space-group type is No. 44.

***

(5)
VASP calculation (GGA-PBE) on a relaxed CaTa2Al crystal.

Unit cell a=5.1139 b=2.9731 c=5.4847 alpha=80.04 beta=90.00 gamma=90.00
With the nearest neighbours (Å) after each atom.
Sites, in units of the cell vectors:
Ca  0.5000  0.7500  0.7500  2 Al 2.88, 2 Ca 2.97, 4 Ta 3.22
Al  0.5000  0.2500  0.2500  2 Ca 2.88, 4 Ta 2.91, 2 Al 2.97
Ta  0.0000  0.4118  0.4743  5 Ta 2.79-3.01, 2 Al 2.91
Ta  0.0000  0.0882  0.0257  5 Ta 2.79-3.01, 2 Al 2.91

Output
The calculation puts the density of states at the Fermi level at 2.64 states/eV/f.u. Its magnetization is 0.00 μB/f.u. The calculation puts the density at 8673 kg/m3. For the formation energy, the calculation gives 0.390 eV per atom. The space-group type is No. 10.

***

(6)
VASP calculation (GGA-PBE) on a relaxed Y2InMoOs crystal.

Unit cell a=5.1672 b=5.1397 c=5.1672 alpha=90.00 beta=90.00 gamma=90.00
With the nearest neighbours (Å) after each atom.
Sites, in units of the cell vectors:
Y  0.5000  0.0000  0.0000  2 Mo 2.58
Y  0.0000  0.0000  0.5000  2 Mo 2.58
Mo  0.0000  0.0000  0.0000  2 In 2.57, 4 Y 2.58
In  0.0000  0.5000  0.0000  2 Mo 2.57
Os  0.5000  0.5000  0.5000  8 Y 3.64, 4 In 3.65

Output
The calculation puts the density of states at the Fermi level at 6.03 states/eV/f.u. Its magnetization is 2.11 μB/f.u. The calculation puts the density at 7004 kg/m3. For the formation energy, the calculation gives 1.257 eV per atom. The space-group type is No. 123.

***

(7)
VASP calculation (GGA-PBE) on a relaxed Cd4AgSn crystal.

Unit cell a=3.8388 b=3.8388 c=9.3172 alpha=90.00 beta=90.00 gamma=90.00
With the nearest neighbours (Å) after each atom.
Sites, in units of the cell vectors:
Cd  0.0000  0.0000  0.3455  5 Cd 2.88-3.11, 4 Ag 3.07, 1 Sn 3.22
Cd  0.5000  0.5000  0.8164  1 Ag 2.95, 4 Cd 3.11, 4 Sn 3.21
Cd  0.5000  0.5000  0.1836  1 Ag 2.95, 4 Cd 3.11, 4 Sn 3.21
Cd  0.0000  0.0000  0.6545  5 Cd 2.88-3.11, 4 Ag 3.07, 1 Sn 3.22
Sn  0.0000  0.0000  0.0000  10 Cd 3.21-3.22
Ag  0.5000  0.5000  0.5000  10 Cd 2.95-3.07

Output
The calculation puts the density of states at the Fermi level at 1.61 states/eV/f.u. Its energy above the lowest structure with this stoichiometry is 12 meV per atom. Its magnetization is 0.00 μB/f.u. The calculation puts the density at 8178 kg/m3. For the formation energy, the calculation gives 0.038 eV per atom. The space-group type is No. 123.

***

(8)
VASP calculation (GGA-PBE) on a relaxed Re3BOs crystal.

Unit cell a=4.7242 b=4.7242 c=4.7242 alpha=90.00 beta=90.00 gamma=90.00
With the nearest neighbours (Å) after each atom.
Sites, in units of the cell vectors:
B  0.5000  0.5000  0.5000  12 Re 3.34
Re  0.5000  0.0000  0.0000  2 Os 2.36
Re  0.0000  0.0000  0.5000  2 Os 2.36
Re  0.0000  0.5000  0.0000  2 Os 2.36
Os  0.0000  0.0000  0.0000  6 Re 2.36

Output
The calculation puts the density of states at the Fermi level at 4.66 states/eV/f.u. Its energy above the lowest structure with this stoichiometry is 2997 meV per atom. Its magnetization is 2.28 μB/f.u. The calculation puts the density at 11964 kg/m3. For the formation energy, the calculation gives 3.095 eV per atom. The space-group type is No. 221.

***

(9)
VASP calculation (GGA-PBE) on a relaxed La2PRu crystal.

Unit cell a=7.8403 b=7.8403 c=7.8403 alpha=31.22 beta=31.22 gamma=31.22
With the nearest neighbours (Å) after each atom.
Sites, in units of the cell vectors:
P  0.5482  0.5482  0.5482  3 Ru 2.45
La  0.9558  0.9558  0.9558  3 P 2.95, 3 Ru 3.13
La  0.7948  0.7948  0.7948  3 Ru 2.93, 3 P 3.11
Ru  0.2012  0.2012  0.2012  3 P 2.45

Output
The calculation puts the density of states at the Fermi level at 3.59 states/eV/f.u. Its magnetization is 0.00 μB/f.u. The calculation puts the density at 5925 kg/m3. For the formation energy, the calculation gives -0.790 eV per atom. The space-group type is No. 160.

***

(10)
VASP calculation (GGA-PBE) on a relaxed IrCl crystal.

Unit cell a=3.4040 b=3.4040 c=8.5958 alpha=90.00 beta=90.00 gamma=120.00
With the nearest neighbours (Å) after each atom.
Sites, in units of the cell vectors:
Ir  0.0000  0.0000  0.5340  3 Ir 2.51, 3 Cl 2.60
Ir  0.6667  0.3333  0.7160  3 Ir 2.51, 3 Cl 2.60
Cl  0.6667  0.3333  0.3354  3 Ir 2.60
Cl  0.0000  0.0000  0.9146  3 Ir 2.60

Output
The calculation puts the density of states at the Fermi level at 2.74 states/eV/f.u. Its energy above the lowest structure with this stoichiometry is 298 meV per atom. Its magnetization is 0.61 μB/f.u. The calculation puts the density at 8766 kg/m3. The formation energy from raw total energies comes out at 0.43 eV per atom. The space-group type is No. 164.

***

(11)
VASP calculation (GGA-PBE) on a relaxed PmMgCd crystal.

Unit cell a=4.8402 b=7.5410 c=7.5410 alpha=120.00 beta=90.00 gamma=90.00
With the nearest neighbours (Å) after each atom.
Sites, in units of the cell vectors:
Mg  0.0000  0.0000  0.2382  4 Cd 2.94-3.01, 2 Mg 3.11
Mg  0.0000  0.7618  0.7618  4 Cd 2.94-3.01, 2 Mg 3.11
Mg  0.0000  0.2382  0.0000  4 Cd 2.94-3.01, 2 Mg 3.11
Cd  0.5000  0.0000  0.0000  6 Mg 3.01, 3 Pm 3.19
Cd  0.0000  0.3333  0.6667  3 Mg 2.94
Cd  0.0000  0.6667  0.3333  3 Mg 2.94
Pm  0.5000  0.5769  0.0000  5 Cd 3.19-3.31, 2 Mg 3.52
Pm  0.5000  0.4230  0.4230  5 Cd 3.19-3.31, 2 Mg 3.52
Pm  0.5000  0.0000  0.5770  5 Cd 3.19-3.31, 2 Mg 3.52

Output
The calculation puts the density of states at the Fermi level at 2.52 states/eV/f.u. Its energy above the lowest structure with this stoichiometry is 0 meV per atom. Its magnetization is 0.00 μB/f.u. The calculation puts the density at 5888 kg/m3. For the formation energy, the calculation gives -0.263 eV per atom. The space-group type is No. 189.

***

(12)
VASP calculation (GGA-PBE) on a relaxed Tl2BiHF crystal.

Unit cell a=4.6386 b=4.8813 c=4.6386 alpha=90.00 beta=90.00 gamma=90.00
With the nearest neighbours (Å) after each atom.
Sites, in units of the cell vectors:
Tl  0.0000  0.0000  0.5000  2 H 2.32
Tl  0.5000  0.0000  0.0000  2 H 2.32
Bi  0.5000  0.5000  0.5000  4 F 3.28, 8 Tl 3.37
F  0.0000  0.5000  0.0000  2 H 2.44
H  0.0000  0.0000  0.0000  4 Tl 2.32, 2 F 2.44

Output
The calculation puts the density of states at the Fermi level at 2.76 states/eV/f.u. Its magnetization is 0.00 μB/f.u. The calculation puts the density at 10083 kg/m3. The space-group type is No. 123. For the total DFT energy (no corrections), the calculation gives -14.41 eV/cell.

***

Copy entry 12 word for word.
VASP calculation (GGA-PBE) on a relaxed Tl2BiHF crystal.

Unit cell a=4.6386 b=4.8813 c=4.6386 alpha=90.00 beta=90.00 gamma=90.00
With the nearest neighbours (Å) after each atom.
Sites, in units of the cell vectors:
Tl  0.0000  0.0000  0.5000  2 H 2.32
Tl  0.5000  0.0000  0.0000  2 H 2.32
Bi  0.5000  0.5000  0.5000  4 F 3.28, 8 Tl 3.37
F  0.0000  0.5000  0.0000  2 H 2.44
H  0.0000  0.0000  0.0000  4 Tl 2.32, 2 F 2.44

Output
The calculation puts the density of states at the Fermi level at 2.76 states/eV/f.u. Its magnetization is 0.00 μB/f.u. The calculation puts the density at 10083 kg/m3. The space-group type is No. 123. For the total DFT energy (no corrections), the calculation gives -14.41 eV/cell.

***

The highest magnetization belongs to which entry?
Re3BOs

***

Number 3 is which compound?
BeSnP